# 1
! PBE CaPm3Sb4, relaxed; values from VASP
&SYSTEM
  ibrav = 0, nat = 8, ntyp = 3
/
ATOMIC_SPECIES
Pm 145.00 Pm.upf
Sb 121.76 Sb.upf
Ca 40.08 Ca.upf
CELL_PARAMETERS angstrom
-5.657 -1.816 2.282
-0.608 -4.136 -4.799
2.852 -4.483 3.503
ATOMIC_POSITIONS crystal
Pm 0.500 0.500 0.000
Sb 0.500 0.000 0.000
Pm 0.000 0.500 0.500
Sb 0.000 0.500 0.000
Pm 0.500 0.000 0.500
Sb 0.500 0.500 0.500
Ca 0.000 0.000 0.000
Sb 0.000 0.000 0.500
! Formation energy (no corrections)   -1.062 eV per atom
! Excess energy over the best structure of this formula in the dataset   0.007 eV per atom
! DOS(E_F)   4.61 states/eV per cell
! Energy   -41.24 eV/cell


# 2
! PBE CaPmSb2, relaxed; values from VASP
&SYSTEM
  ibrav = 0, nat = 4, ntyp = 3
/
ATOMIC_SPECIES
Sb 121.76 Sb.upf
Pm 145.00 Pm.upf
Ca 40.08 Ca.upf
CELL_PARAMETERS angstrom
4.682 0.000 0.000
2.341 4.055 0.000
2.341 1.352 7.046
ATOMIC_POSITIONS crystal
Sb 0.249 0.249 0.254
Pm 0.495 0.495 0.514
Ca 0.670 0.670 0.990
Sb 0.086 0.086 0.742
! Formation energy (no corrections)   -0.866 eV per atom
! Excess energy over the best structure of this formula in the dataset   0.076 eV per atom
! DOS(E_F)   3.91 states/eV per cell
! Energy   -18.46 eV/cell


# 3
! PBE CaPm2Sb2, relaxed; values from VASP
&SYSTEM
  ibrav = 0, nat = 10, ntyp = 3
/
ATOMIC_SPECIES
Pm 145.00 Pm.upf
Sb 121.76 Sb.upf
Ca 40.08 Ca.upf
CELL_PARAMETERS angstrom
4.294 0.000 0.000
0.000 8.425 0.000
0.000 0.000 8.425
ATOMIC_POSITIONS crystal
Pm 0.500 0.155 0.655
Pm 0.500 0.655 0.845
Pm 0.500 0.845 0.345
Pm 0.500 0.345 0.155
Sb 0.000 0.148 0.352
Ca 0.000 0.000 0.000
Ca 0.000 0.500 0.500
Sb 0.000 0.352 0.852
Sb 0.000 0.648 0.148
Sb 0.000 0.852 0.648
! Formation energy (no corrections)   -1.001 eV per atom
! DOS(E_F)   3.17 states/eV per cell
! Energy   -49.50 eV/cell


# 4
! PBE Ca3PmSb2, relaxed; values from VASP
&SYSTEM
  ibrav = 0, nat = 12, ntyp = 3
/
ATOMIC_SPECIES
Ca 40.08 Ca.upf
Pm 145.00 Pm.upf
Sb 121.76 Sb.upf
CELL_PARAMETERS angstrom
6.715 0.000 0.000
0.000 6.564 0.000
-3.358 -3.282 8.595
ATOMIC_POSITIONS crystal
Ca 0.574 0.323 0.646
Ca 0.500 0.750 0.000
Ca 0.500 0.250 0.000
Pm 0.000 0.750 0.000
Ca 0.426 0.677 0.354
Ca 0.072 0.823 0.646
Sb 0.886 0.636 0.272
Pm 0.000 0.250 0.000
Sb 0.114 0.364 0.728
Ca 0.928 0.177 0.354
Sb 0.386 0.136 0.272
Sb 0.614 0.864 0.728
! Formation energy (no corrections)   -0.789 eV per atom
! DOS(E_F)   7.38 states/eV per cell
! Energy   -47.47 eV/cell


# 5
! PBE CaPm2Sb, relaxed; values from VASP
&SYSTEM
  ibrav = 0, nat = 4, ntyp = 3
/
ATOMIC_SPECIES
Sb 121.76 Sb.upf
Pm 145.00 Pm.upf
Ca 40.08 Ca.upf
CELL_PARAMETERS angstrom
-2.486 4.925 -0.363
-5.515 0.335 0.216
-2.465 2.187 4.440
ATOMIC_POSITIONS crystal
Sb 0.500 0.500 0.500
Pm 0.250 0.250 0.250
Pm 0.750 0.750 0.750
Ca 0.000 0.000 0.000
! Formation energy (no corrections)   -0.312 eV per atom
! Excess energy over the best structure of this formula in the dataset   0.181 eV per atom
! DOS(E_F)   7.14 states/eV per cell
! Energy   -16.87 eV/cell


# 6
! PBE CaPmSb2, relaxed; values from VASP
&SYSTEM
  ibrav = 0, nat = 4, ntyp = 3
/
ATOMIC_SPECIES
Sb 121.76 Sb.upf
Pm 145.00 Pm.upf
Ca 40.08 Ca.upf
CELL_PARAMETERS angstrom
-1.795 3.337 -1.598
1.046 -1.784 -4.900
-4.670 -2.545 -0.070
ATOMIC_POSITIONS crystal
Sb 0.000 0.500 0.000
Pm 0.500 0.500 0.500
Sb 0.000 0.000 0.500
Ca 0.500 0.000 0.000
! Formation energy (no corrections)   -0.830 eV per atom
! Excess energy over the best structure of this formula in the dataset   0.111 eV per atom
! DOS(E_F)   2.04 states/eV per cell
! Energy   -18.32 eV/cell


# 7
! PBE CaPmSb, relaxed; values from VASP
&SYSTEM
  ibrav = 0, nat = 3, ntyp = 3
/
ATOMIC_SPECIES
Ca 40.08 Ca.upf
Pm 145.00 Pm.upf
Sb 121.76 Sb.upf
CELL_PARAMETERS angstrom
5.220 0.000 0.000
2.610 4.521 0.000
2.610 1.507 4.262
ATOMIC_POSITIONS crystal
Ca 0.500 0.500 0.500
Pm 0.000 0.000 0.000
Sb 0.250 0.250 0.250
! Formation energy (no corrections)   -0.635 eV per atom
! Excess energy over the best structure of this formula in the dataset   0.178 eV per atom
! DOS(E_F)   3.11 states/eV per cell
! Energy   -12.78 eV/cell


# 8
! PBE CaPmSb2, relaxed; values from VASP
&SYSTEM
  ibrav = 0, nat = 4, ntyp = 3
/
ATOMIC_SPECIES
Sb 121.76 Sb.upf
Ca 40.08 Ca.upf
Pm 145.00 Pm.upf
CELL_PARAMETERS angstrom
-4.122 -0.976 -1.249
-1.342 -4.206 -0.091
-4.177 -1.133 6.861
ATOMIC_POSITIONS crystal
Sb 0.748 0.748 0.755
Sb 0.252 0.252 0.245
Ca 0.500 0.500 0.500
Pm 0.000 0.000 0.000
! Formation energy (no corrections)   -0.941 eV per atom
! Excess energy over the best structure of this formula in the dataset   0.000 eV per atom
! DOS(E_F)   2.54 states/eV per cell
! Energy   -18.76 eV/cell


# 9
! PBE CaPm2Sb, relaxed; values from VASP
&SYSTEM
  ibrav = 0, nat = 4, ntyp = 3
/
ATOMIC_SPECIES
Pm 145.00 Pm.upf
Ca 40.08 Ca.upf
Sb 121.76 Sb.upf
CELL_PARAMETERS angstrom
-2.185 1.730 -2.993
-4.086 -0.070 0.149
-2.053 10.215 4.610
ATOMIC_POSITIONS crystal
Pm 0.109 0.109 0.674
Ca 0.000 0.000 0.000
Pm 0.891 0.891 0.326
Sb 0.500 0.500 0.500
! Formation energy (no corrections)   -0.225 eV per atom
! Excess energy over the best structure of this formula in the dataset   0.268 eV per atom
! DOS(E_F)   6.57 states/eV per cell
! Energy   -16.53 eV/cell


# 10
! PBE CaPmSb, relaxed; values from VASP
&SYSTEM
  ibrav = 0, nat = 3, ntyp = 3
/
ATOMIC_SPECIES
Ca 40.08 Ca.upf
Pm 145.00 Pm.upf
Sb 121.76 Sb.upf
CELL_PARAMETERS angstrom
4.127 0.000 0.000
0.000 4.127 0.000
-2.063 -2.063 5.371
ATOMIC_POSITIONS crystal
Ca 0.631 0.631 0.262
Pm 0.933 0.933 0.866
Sb 0.286 0.286 0.572
! Formation energy (no corrections)   -0.582 eV per atom
! Excess energy over the best structure of this formula in the dataset   0.231 eV per atom
! DOS(E_F)   2.12 states/eV per cell
! Energy   -12.62 eV/cell


# 11
! PBE CaPm3Sb4, relaxed; values from VASP
&SYSTEM
  ibrav = 0, nat = 8, ntyp = 3
/
ATOMIC_SPECIES
Sb 121.76 Sb.upf
Ca 40.08 Ca.upf
Pm 145.00 Pm.upf
CELL_PARAMETERS angstrom
4.485 0.000 0.000
0.000 7.815 -0.062
0.000 -2.522 7.397
ATOMIC_POSITIONS crystal
Sb 0.500 0.251 0.749
Sb 0.000 0.253 0.253
Ca 0.500 0.000 0.000
Pm 0.000 0.500 0.000
Sb 0.000 0.747 0.747
Pm 0.000 0.000 0.500
Sb 0.500 0.749 0.251
Pm 0.500 0.500 0.500
! Formation energy (no corrections)   -1.069 eV per atom
! Excess energy over the best structure of this formula in the dataset   0.000 eV per atom
! DOS(E_F)   4.29 states/eV per cell
! Energy   -41.30 eV/cell


# 12
! PBE CaPmSb2, relaxed; values from VASP
&SYSTEM
  ibrav = 0, nat = 4, ntyp = 3
/
ATOMIC_SPECIES
Pm 145.00 Pm.upf
Sb 121.76 Sb.upf
Ca 40.08 Ca.upf
CELL_PARAMETERS angstrom
4.101 0.000 0.000
0.000 4.101 0.000
0.000 0.000 6.865
ATOMIC_POSITIONS crystal
Pm 0.500 0.500 0.500
Sb 0.000 0.000 0.256
Ca 0.500 0.500 0.000
Sb 0.000 0.000 0.744
! Formation energy (no corrections)   -0.852 eV per atom
! Excess energy over the best structure of this formula in the dataset   0.089 eV per atom
! DOS(E_F)   2.64 states/eV per cell
! Energy   -18.40 eV/cell